1.
A geometry-optimized TbNbSn2 structure, computed with GGA-PBE.

* space group: No. 123
* DOS(E_F): 5.2 states/eV/f.u.
* ΔE_f: -0.2300 eV per atom
* M_tot: 0.05 μB/cell
* energy above the lowest structure with this stoichiometry: 0.000 eV/atom
* VASP energy: -5.91 eV per atom

```
data_TbNbSn2
_chemical_formula_sum 'Tb1 Nb1 Sn2'
_symmetry_space_group_name_H-M 'P 1'
_symmetry_Int_Tables_number 1
_cell_length_a 3.7303
_cell_length_b 3.7303
_cell_length_c 6.7223
_cell_angle_alpha 90.00
_cell_angle_beta 90.00
_cell_angle_gamma 90.00
loop_
_symmetry_equiv_pos_as_xyz
'x,y,z'
loop_
_atom_site_label
_atom_site_type_symbol
_atom_site_fract_x
_atom_site_fract_y
_atom_site_fract_z
Tb1 Tb 0.0000 0.0000 0.0000
Nb1 Nb 0.0000 0.0000 0.5000
Sn1 Sn 0.5000 0.5000 0.2826
Sn2 Sn 0.5000 0.5000 0.7174
```

2.
A geometry-optimized TbNbSn2 structure, computed with GGA-PBE.

* space group: No. 166
* DOS(E_F): 3.5 states/eV/f.u.
* ΔE_f: 0.2544 eV per atom
* M_tot: 0.00 μB/cell
* energy above the lowest structure with this stoichiometry: 0.484 eV/atom
* VASP energy: -5.42 eV per atom

```
data_TbNbSn2
_chemical_formula_sum 'Tb1 Nb1 Sn2'
_symmetry_space_group_name_H-M 'P 1'
_symmetry_Int_Tables_number 1
_cell_length_a 11.3960
_cell_length_b 11.3960
_cell_length_c 11.3960
_cell_angle_alpha 16.19
_cell_angle_beta 16.19
_cell_angle_gamma 16.19
loop_
_symmetry_equiv_pos_as_xyz
'x,y,z'
loop_
_atom_site_label
_atom_site_type_symbol
_atom_site_fract_x
_atom_site_fract_y
_atom_site_fract_z
Tb1 Tb 0.0000 0.0000 0.0000
Nb1 Nb 0.5000 0.5000 0.5000
Sn1 Sn 0.4154 0.4154 0.4154
Sn2 Sn 0.5846 0.5846 0.5846
```

3.
A geometry-optimized TbNbSn structure, computed with GGA-PBE.

* space group: No. 166
* DOS(E_F): 0.8 states/eV/f.u.
* ΔE_f: -0.1403 eV per atom
* M_tot: 0.00 μB/cell
* VASP energy: -6.37 eV per atom

```
data_TbNbSn
_chemical_formula_sum 'Tb2 Nb2 Sn2'
_symmetry_space_group_name_H-M 'P 1'
_symmetry_Int_Tables_number 1
_cell_length_a 8.2014
_cell_length_b 8.2014
_cell_length_c 8.2014
_cell_angle_alpha 33.79
_cell_angle_beta 33.79
_cell_angle_gamma 33.79
loop_
_symmetry_equiv_pos_as_xyz
'x,y,z'
loop_
_atom_site_label
_atom_site_type_symbol
_atom_site_fract_x
_atom_site_fract_y
_atom_site_fract_z
Tb1 Tb 0.2137 0.2137 0.2137
Tb2 Tb 0.7863 0.7863 0.7863
Nb1 Nb 0.3475 0.3475 0.3475
Nb2 Nb 0.6525 0.6525 0.6525
Sn1 Sn 0.0642 0.0642 0.0642
Sn2 Sn 0.9358 0.9358 0.9358
```

4.
A geometry-optimized NbTc3Sn structure, computed with GGA-PBE.

* space group: No. 221
* DOS(E_F): 7.4 states/eV/f.u.
* ΔE_f: 1.9987 eV per atom
* M_tot: 0.42 μB/cell
* energy above the lowest structure with this stoichiometry: 0.454 eV/atom
* VASP energy: -7.04 eV per atom

```
data_NbTc3Sn
_chemical_formula_sum 'Nb1 Tc3 Sn1'
_symmetry_space_group_name_H-M 'P 1'
_symmetry_Int_Tables_number 1
_cell_length_a 4.7415
_cell_length_b 4.7415
_cell_length_c 4.7415
_cell_angle_alpha 90.00
_cell_angle_beta 90.00
_cell_angle_gamma 90.00
loop_
_symmetry_equiv_pos_as_xyz
'x,y,z'
loop_
_atom_site_label
_atom_site_type_symbol
_atom_site_fract_x
_atom_site_fract_y
_atom_site_fract_z
Nb1 Nb 0.0000 0.0000 0.0000
Tc1 Tc 0.0000 0.5000 0.5000
Tc2 Tc 0.5000 0.0000 0.5000
Tc3 Tc 0.5000 0.5000 0.0000
Sn1 Sn 0.5000 0.5000 0.5000
```

5.
A geometry-optimized Nb2TcSn2 structure, computed with GGA-PBE.

* space group: No. 127
* DOS(E_F): 5.4 states/eV/f.u.
* ΔE_f: 0.2459 eV per atom
* M_tot: 0.90 μB/cell
* VASP energy: -7.46 eV per atom

```
data_Nb2TcSn2
_chemical_formula_sum 'Nb4 Tc2 Sn4'
_symmetry_space_group_name_H-M 'P 1'
_symmetry_Int_Tables_number 1
_cell_length_a 6.9928
_cell_length_b 6.9928
_cell_length_c 4.0109
_cell_angle_alpha 90.00
_cell_angle_beta 90.00
_cell_angle_gamma 90.00
loop_
_symmetry_equiv_pos_as_xyz
'x,y,z'
loop_
_atom_site_label
_atom_site_type_symbol
_atom_site_fract_x
_atom_site_fract_y
_atom_site_fract_z
Nb1 Nb 0.1556 0.3444 0.0000
Nb2 Nb 0.3444 0.8444 0.0000
Nb3 Nb 0.6556 0.1556 0.0000
Nb4 Nb 0.8444 0.6556 0.0000
Tc1 Tc 0.0000 0.0000 0.5000
Tc2 Tc 0.5000 0.5000 0.5000
Sn1 Sn 0.1470 0.6470 0.5000
Sn2 Sn 0.3530 0.1470 0.5000
Sn3 Sn 0.6470 0.8530 0.5000
Sn4 Sn 0.8530 0.3530 0.5000
```

6.
A geometry-optimized Nb2TcSn structure, computed with GGA-PBE.

* space group: No. 9
* DOS(E_F): 3.3 states/eV/f.u.
* ΔE_f: 0.0182 eV per atom
* M_tot: 0.00 μB/cell
* VASP energy: -8.61 eV per atom

```
data_Nb2TcSn
_chemical_formula_sum 'Nb4 Tc2 Sn2'
_symmetry_space_group_name_H-M 'P 1'
_symmetry_Int_Tables_number 1
_cell_length_a 5.7398
_cell_length_b 5.7398
_cell_length_c 5.5204
_cell_angle_alpha 102.03
_cell_angle_beta 102.03
_cell_angle_gamma 119.29
loop_
_symmetry_equiv_pos_as_xyz
'x,y,z'
loop_
_atom_site_label
_atom_site_type_symbol
_atom_site_fract_x
_atom_site_fract_y
_atom_site_fract_z
Nb1 Nb 0.0494 0.9506 0.5000
Nb2 Nb 0.5504 0.9425 0.4769
Nb3 Nb 0.9425 0.5504 0.9769
Nb4 Nb 0.9506 0.0494 0.0000
Tc1 Tc 0.4611 0.5618 0.9964
Tc2 Tc 0.5618 0.4611 0.4964
Sn1 Sn 0.0658 0.4549 0.4973
Sn2 Sn 0.4549 0.0658 0.9973
```

7.
A geometry-optimized Nb2TcSn structure, computed with GGA-PBE.

* space group: No. 1
* DOS(E_F): 2.3 states/eV/f.u.
* ΔE_f: -0.0579 eV per atom
* M_tot: 0.00 μB/cell
* VASP energy: -8.69 eV per atom

```
data_Nb2TcSn
_chemical_formula_sum 'Nb4 Tc2 Sn2'
_symmetry_space_group_name_H-M 'P 1'
_symmetry_Int_Tables_number 1
_cell_length_a 5.3966
_cell_length_b 5.4421
_cell_length_c 5.5897
_cell_angle_alpha 95.12
_cell_angle_beta 97.01
_cell_angle_gamma 116.88
loop_
_symmetry_equiv_pos_as_xyz
'x,y,z'
loop_
_atom_site_label
_atom_site_type_symbol
_atom_site_fract_x
_atom_site_fract_y
_atom_site_fract_z
Nb1 Nb 0.0000 0.0000 0.0000
Nb2 Nb 0.1348 0.6158 0.2353
Nb3 Nb 0.5082 0.4820 0.9878
Nb4 Nb 0.7593 0.7270 0.4983
Tc1 Tc 0.2406 0.2453 0.4901
Tc2 Tc 0.8930 0.3810 0.7678
Sn1 Sn 0.3785 0.8730 0.7473
Sn2 Sn 0.6410 0.1356 0.2857
```

8.
A geometry-optimized NbTc4Sn structure, computed with GGA-PBE.

* space group: No. 216
* DOS(E_F): 6.0 states/eV/f.u.
* ΔE_f: 0.0869 eV per atom
* M_tot: 0.00 μB/cell
* VASP energy: -9.17 eV per atom

```
data_NbTc4Sn
_chemical_formula_sum 'Nb1 Tc4 Sn1'
_symmetry_space_group_name_H-M 'P 1'
_symmetry_Int_Tables_number 1
_cell_length_a 5.1954
_cell_length_b 5.1954
_cell_length_c 5.1954
_cell_angle_alpha 60.00
_cell_angle_beta 60.00
_cell_angle_gamma 60.00
loop_
_symmetry_equiv_pos_as_xyz
'x,y,z'
loop_
_atom_site_label
_atom_site_type_symbol
_atom_site_fract_x
_atom_site_fract_y
_atom_site_fract_z
Nb1 Nb 0.0000 0.0000 0.0000
Tc1 Tc 0.3760 0.3760 0.3760
Tc2 Tc 0.3760 0.3760 0.8721
Tc3 Tc 0.3760 0.8721 0.3760
Tc4 Tc 0.8721 0.3760 0.3760
Sn1 Sn 0.7500 0.7500 0.7500
```

> Which of these has the highest VASP energy?

number 2

> Which value of M_tot does entry 3 give?

0.00 μB/cell

> Among the records above, which one has the lowest ΔE_f?

number 1

> What is the DOS(E_F) in the fourth record?

7.4 states/eV/f.u.